1.
The following is a DFT calculation (GGA-PBE) of YTeN2 after structural relaxation.

```
YTeN2
1.0
5.020 0.000 0.000
0.000 5.020 0.000
2.510 2.510 5.921
Y Te N
2 2 4
Cartesian
2.510 2.510 0.000 Y
2.510 5.020 2.961 Y
0.000 0.000 0.000 Te
5.020 2.510 2.961 Te
3.777 1.255 1.480 N
1.243 3.765 1.480 N
3.765 3.753 4.441 N
6.274 6.286 4.441 N
```

Results
For the energy, the calculation gives -6.57 eV per atom. Its symmetry is No. 122. The spin magnetization is 0.00 Bohr magnetons per cell.



2.
The following is a DFT calculation (GGA-PBE) of YTe3N after structural relaxation.

```
YTe3N
1.0
4.856 0.000 0.000
0.000 4.856 0.000
0.000 0.000 4.856
Y Te N
1 3 1
Cartesian
2.428 2.428 2.428 Y
0.000 2.428 0.000 Te
0.000 0.000 2.428 Te
2.428 0.000 0.000 Te
0.000 0.000 0.000 N
```

Results
Its energy above the lowest structure with this stoichiometry is 0 meV per atom. For the energy, the calculation gives -4.86 eV per atom. Its symmetry is No. 221. The spin magnetization is 0.00 Bohr magnetons per cell.



3.
The following is a DFT calculation (GGA-PBE) of Y2TeN after structural relaxation.

```
Y2TeN
1.0
-5.642 2.930 -2.926
-4.101 -3.268 4.634
-4.551 2.881 3.289
Y Te N
4 2 2
Cartesian
-4.589 1.838 -0.123 Y
-4.994 -0.651 3.048 Y
-7.494 1.693 3.590 Y
-11.511 2.205 3.478 Y
0.000 0.000 0.000 Te
-7.532 2.821 0.608 Te
-4.872 -0.169 0.854 N
-6.762 -0.278 4.388 N
```

Results
Its energy above the lowest structure with this stoichiometry is 102 meV per atom. For the energy, the calculation gives -7.38 eV per atom. Its symmetry is No. 122. The spin magnetization is 0.00 Bohr magnetons per cell.



4.
The following is a DFT calculation (GGA-PBE) of YTe2N2 after structural relaxation.

```
YTe2N2
1.0
4.563 0.000 0.000
0.000 4.563 0.000
0.000 0.000 4.477
Y Te N
1 2 2
Cartesian
2.282 2.282 2.239 Y
0.000 2.282 0.000 Te
2.282 0.000 0.000 Te
0.000 0.000 0.000 N
0.000 0.000 2.239 N
```

Results
Its energy above the lowest structure with this stoichiometry is 9 meV per atom. For the energy, the calculation gives -5.12 eV per atom. Its symmetry is No. 123. The spin magnetization is 0.28 Bohr magnetons per cell.